No. 1
The following is a PBE calculation of a relaxed structure of Na2MgBiF8, from Alexandria.

## Properties
E_tot (eV per atom): -4.566
Energy relative to the elements, uncorrected (eV per atom): -2.6426
M_tot (μB per formula unit): 0.78
ρ (Mg/m³): 4.0

Lattice parameters (Å, degrees): 5.154 6.813 5.164 90.00 93.34 90.00
Space group P2/m (No. 10)
One atom of each set of equivalent atoms:
Na1 0.000 0.224 0.000 (multiplicity 2)
Mg1 0.500 0.000 0.500 (multiplicity 1)
Bi1 0.500 0.500 0.500 (multiplicity 1)
F1 0.193 0.500 0.199 (multiplicity 2)
F2 0.229 0.000 0.233 (multiplicity 2)
F3 0.321 0.247 0.683 (multiplicity 4)


No. 2
The following is a PBE calculation of a relaxed structure of PmSmCd4, from Alexandria.

## Properties
E_tot (eV per atom): -2.529
M_tot (μB per formula unit): 0.00
ρ (Mg/m³): 8.1
ΔE_f (eV/atom): -0.340

Lattice parameters (Å, degrees): 3.417 8.769 5.077 90.00 90.08 90.00
Space group P2/m (No. 10)
One atom of each set of equivalent atoms:
Pm1 0.000 0.000 0.000 (multiplicity 1)
Sm1 0.000 0.500 0.500 (multiplicity 1)
Cd1 0.500 0.168 0.500 (multiplicity 2)
Cd2 0.500 0.334 0.000 (multiplicity 2)


No. 3
The following is a PBE calculation of a relaxed structure of BeTlCr2, from Alexandria.

## Properties
E_tot (eV per atom): -5.737
M_tot (μB per formula unit): 0.19
ρ (Mg/m³): 8.7
ΔE_f (eV/atom): 0.597

Lattice parameters (Å, degrees): 4.065 4.065 7.308 90.00 90.00 90.00
Space group I-4m2 (No. 119)
One atom of each set of equivalent atoms:
Be1 0.000 0.000 0.000 (multiplicity 2)
Tl1 0.000 0.500 0.250 (multiplicity 2)
Cr1 0.000 0.000 0.500 (multiplicity 2)
Cr2 0.000 0.500 0.750 (multiplicity 2)


No. 4
The following is a PBE calculation of a relaxed structure of Ce3TmNi8, from Alexandria.

## Properties
E_tot (eV per atom): -6.115
M_tot (μB per formula unit): 0.05
ρ (Mg/m³): 9.5
ΔE_f (eV/atom): -0.404

Lattice parameters (Å, degrees): 5.0728 5.0728 24.7909 90.00 90.00 120.00
Space group R3m (No. 160, hexagonal axes)
One atom of each set of equivalent atoms:
Ce1 0.0000 0.0000 0.0000 (multiplicity 3)
Ce2 0.0000 0.0000 0.1240 (multiplicity 3)
Ce3 0.0000 0.0000 0.4924 (multiplicity 3)
Tm1 0.0000 0.0000 0.6186 (multiplicity 3)
Ni1 0.0000 0.0000 0.3080 (multiplicity 3)
Ni2 0.0000 0.0000 0.8083 (multiplicity 3)
Ni3 0.0028 0.5014 0.5599 (multiplicity 9)
Ni4 0.1684 0.3368 0.3904 (multiplicity 9)


No. 5
The following is a PBE calculation of a relaxed structure of PrNd2Ga4, from Alexandria.

## Properties
E_tot (eV per atom): -4.410
M_tot (μB per formula unit): 0.00
ρ (Mg/m³): 6.7
ΔE_f (eV/atom): -0.636

Lattice parameters (Å, degrees): 4.235 4.419 18.837 90.00 90.00 90.00
Space group Immm (No. 71)
One atom of each set of equivalent atoms:
Pr1 0.000 0.000 0.000 (multiplicity 2)
Nd1 0.000 0.500 0.316 (multiplicity 4)
Ga1 0.000 0.000 0.434 (multiplicity 4)
Ga2 0.000 0.500 0.142 (multiplicity 4)


No. 6
The following is a PBE calculation of a relaxed structure of ScZnHg, from Alexandria.

## Properties
E_tot (eV per atom): -2.870
M_tot (μB per formula unit): 0.33
ρ (Mg/m³): 8.7
ΔE_f (eV/atom): -0.234

Lattice parameters (Å, degrees): 3.253 3.253 11.213 90.00 90.00 90.00
Space group I4mm (No. 107)
One atom of each set of equivalent atoms:
Sc1 0.000 0.000 0.000 (multiplicity 2)
Zn1 0.000 0.000 0.658 (multiplicity 2)
Hg1 0.000 0.000 0.319 (multiplicity 2)


No. 7
The following is a PBE calculation of a relaxed structure of CuPb2AuCl, from Alexandria.

## Properties
E_tot (eV per atom): -3.282
Energy relative to the elements, uncorrected (eV per atom): 0.0449
M_tot (μB per formula unit): 0.00
ρ (Mg/m³): 8.7

Lattice parameters (Å, degrees): 5.259 5.259 4.916 90.00 90.00 90.00
Space group P4/mmm (No. 123)
One atom of each set of equivalent atoms:
Cu1 0.000 0.000 0.000 (multiplicity 1)
Pb1 0.000 0.500 0.000 (multiplicity 2)
Au1 0.000 0.000 0.500 (multiplicity 1)
Cl1 0.500 0.500 0.500 (multiplicity 1)


No. 8
The following is a PBE calculation of a relaxed structure of PmPbF, from Alexandria.

## Properties
E_tot (eV per atom): -5.307
Energy relative to the elements, uncorrected (eV per atom): -1.8638
M_tot (μB per formula unit): 0.00
ρ (Mg/m³): 8.2

Lattice parameters (Å, degrees): 4.0049 4.0049 5.3956 90.00 90.00 120.00
Space group P-6m2 (No. 187)
One atom of each set of equivalent atoms:
Pm1 0.0000 0.0000 0.0000 (multiplicity 1)
Pb1 0.6667 0.3333 0.5000 (multiplicity 1)
F1 0.3333 0.6667 0.0000 (multiplicity 1)


No. 9
The following is a PBE calculation of a relaxed structure of PaV4Ge, from Alexandria.

## Properties
E_tot (eV per atom): -8.258
M_tot (μB per formula unit): 0.00
ρ (Mg/m³): 8.6
ΔE_f (eV/atom): 0.173

Lattice parameters (Å, degrees): 7.312 7.312 7.312 90.00 90.00 90.00
Space group F-43m (No. 216)
One atom of each set of equivalent atoms:
Pa1 0.000 0.000 0.000 (multiplicity 4)
V1 0.128 0.128 0.372 (multiplicity 16)
Ge1 0.250 0.250 0.750 (multiplicity 4)


No. 10
The following is a PBE calculation of a relaxed structure of BeRhNO2, from Alexandria.

## Properties
E_tot (eV per atom): -5.257
Energy relative to the elements, uncorrected (eV per atom): 0.6069
M_tot (μB per formula unit): 0.00
ρ (Mg/m³): 4.5

Lattice parameters (Å, degrees): 4.030 4.030 3.610 90.00 90.00 90.00
Space group P4/mmm (No. 123)
One atom of each set of equivalent atoms:
Be1 0.000 0.000 0.000 (multiplicity 1)
Rh1 0.500 0.500 0.500 (multiplicity 1)
N1 0.500 0.500 0.000 (multiplicity 1)
O1 0.000 0.500 0.500 (multiplicity 2)


No. 11
The following is a PBE calculation of a relaxed structure of Ba2SmCdAu6, from Alexandria.

## Properties
E_tot (eV per atom): -3.228
M_tot (μB per formula unit): 0.00
ρ (Mg/m³): 8.6
ΔE_f (eV/atom): -0.314

Lattice parameters (Å, degrees): 11.003 11.003 11.003 90.00 90.00 90.00
Space group Fm-3m (No. 225)
One atom of each set of equivalent atoms:
Ba1 0.250 0.250 0.250 (multiplicity 8)
Sm1 0.000 0.000 0.000 (multiplicity 4)
Cd1 0.000 0.000 0.500 (multiplicity 4)
Au1 0.000 0.000 0.256 (multiplicity 24)


No. 12
The following is a PBE calculation of a relaxed structure of ZrCu2Re, from Alexandria.

## Properties
E_tot (eV per atom): -7.100
M_tot (μB per formula unit): 0.00
ρ (Mg/m³): 11.0
ΔE_f (eV/atom): 0.197

Lattice parameters (Å, degrees): 3.367 3.367 5.402 90.00 90.00 90.00
Space group P4/mmm (No. 123)
One atom of each set of equivalent atoms:
Zr1 0.000 0.000 0.000 (multiplicity 1)
Cu1 0.500 0.500 0.271 (multiplicity 2)
Re1 0.000 0.000 0.500 (multiplicity 1)


No. 13
The following is a PBE calculation of a relaxed structure of Mn2IrPb, from Alexandria.

## Properties
E_tot (eV per atom): -7.309
M_tot (μB per formula unit): 8.31
ρ (Mg/m³): 11.5
ΔE_f (eV/atom): 0.418

Lattice parameters (Å, degrees): 3.0835 3.0835 26.6881 90.00 90.00 120.00
Space group R-3m (No. 166, hexagonal axes)
One atom of each set of equivalent atoms:
Mn1 0.0000 0.0000 0.2393 (multiplicity 6)
Ir1 0.0000 0.0000 0.5000 (multiplicity 3)
Pb1 0.0000 0.0000 0.0000 (multiplicity 3)


No. 14
The following is a PBE calculation of a relaxed structure of Ba7Tl2P, from Alexandria.

## Properties
E_tot (eV per atom): -2.722
M_tot (μB per formula unit): 0.00
ρ (Mg/m³): 5.2
ΔE_f (eV/atom): -0.362

Lattice parameters (Å, degrees): 18.908 8.335 12.320 90.00 112.37 90.00
Space group C2/c (No. 15)
One atom of each set of equivalent atoms:
Ba1 0.000 0.146 0.250 (multiplicity 4)
Ba2 0.096 0.270 0.618 (multiplicity 8)
Ba3 0.129 0.232 0.002 (multiplicity 8)
Ba4 0.192 0.410 0.350 (multiplicity 8)
Tl1 0.209 0.003 0.840 (multiplicity 8)
P1 0.000 0.460 0.750 (multiplicity 4)


No. 15
The following is a PBE calculation of a relaxed structure of Tl2V2PbS7, from Alexandria.

## Properties
E_tot (eV per atom): -5.176
Energy relative to the elements, uncorrected (eV per atom): -0.5451
M_tot (μB per formula unit): 0.00
ρ (Mg/m³): 4.4

Lattice parameters (Å, degrees): 6.5894 6.5894 28.2854 90.00 90.00 120.00
Space group R32 (No. 155, hexagonal axes)
One atom of each set of equivalent atoms:
Tl1 0.0000 0.0000 0.1996 (multiplicity 6)
V1 0.0000 0.0000 0.4213 (multiplicity 6)
Pb1 0.0000 0.0000 0.0000 (multiplicity 3)
S1 0.0000 0.0000 0.5000 (multiplicity 3)
S2 0.0116 0.3121 0.3968 (multiplicity 18)


No. 16
The following is a PBE calculation of a relaxed structure of CeDy3Th2P6, from Alexandria.

## Properties
E_tot (eV per atom): -7.170
M_tot (μB per formula unit): 0.55
ρ (Mg/m³): 7.4
ΔE_f (eV/atom): -1.583

Lattice parameters (Å, degrees): 17.721 4.078 8.116 90.00 102.98 90.00
Space group C2/m (No. 12)
One atom of each set of equivalent atoms:
Ce1 0.000 0.000 0.000 (multiplicity 2)
Dy1 0.000 0.000 0.500 (multiplicity 2)
Dy2 0.166 0.500 0.833 (multiplicity 4)
Th1 0.166 0.500 0.332 (multiplicity 4)
P1 0.001 0.500 0.748 (multiplicity 4)
P2 0.165 0.000 0.587 (multiplicity 4)
P3 0.168 0.000 0.079 (multiplicity 4)


No. 17
The following is a PBE calculation of a relaxed structure of GaCuSn2, from Alexandria.

## Properties
E_tot (eV per atom): -3.691
M_tot (μB per formula unit): 0.00
ρ (Mg/m³): 7.2
ΔE_f (eV/atom): 0.091

Lattice parameters (Å, degrees): 3.258 3.258 8.077 90.00 90.00 90.00
Space group P4/mmm (No. 123)
One atom of each set of equivalent atoms:
Ga1 0.000 0.000 0.000 (multiplicity 1)
Cu1 0.000 0.000 0.500 (multiplicity 1)
Sn1 0.500 0.500 0.282 (multiplicity 2)


No. 18
The following is a PBE calculation of a relaxed structure of LiPrNiPt, from Alexandria.

## Properties
E_tot (eV per atom): -5.048
M_tot (μB per formula unit): 0.00
ρ (Mg/m³): 9.6
ΔE_f (eV/atom): -0.420

Lattice parameters (Å, degrees): 6.517 6.517 6.517 90.00 90.00 90.00
Space group F-43m (No. 216)
One atom of each set of equivalent atoms:
Li1 0.000 0.000 0.000 (multiplicity 4)
Pr1 0.250 0.250 0.750 (multiplicity 4)
Ni1 0.000 0.000 0.500 (multiplicity 4)
Pt1 0.250 0.250 0.250 (multiplicity 4)


No. 19
The following is a PBE calculation of a relaxed structure of Ce3HoAs4, from Alexandria.

## Properties
E_tot (eV per atom): -6.563
M_tot (μB per formula unit): 2.07
ρ (Mg/m³): 7.1
ΔE_f (eV/atom): -1.441

Lattice parameters (Å, degrees): 5.923 5.923 5.923 90.00 90.00 90.00
Space group Pm-3m (No. 221)
One atom of each set of equivalent atoms:
Ce1 0.000 0.000 0.500 (multiplicity 3)
Ho1 0.500 0.500 0.500 (multiplicity 1)
As1 0.000 0.000 0.000 (multiplicity 1)
As2 0.000 0.500 0.500 (multiplicity 3)


No. 20
The following is a PBE calculation of a relaxed structure of Nd2ErMg4, from Alexandria.

## Properties
E_tot (eV per atom): -2.395
M_tot (μB per formula unit): 0.00
ρ (Mg/m³): 3.6
ΔE_f (eV/atom): 0.530

Lattice parameters (Å, degrees): 5.565 5.565 16.355 90.00 90.00 90.00
Space group I4/mmm (No. 139)
One atom of each set of equivalent atoms:
Nd1 0.000 0.000 0.108 (multiplicity 4)
Er1 0.000 0.000 0.500 (multiplicity 2)
Mg1 0.000 0.000 0.316 (multiplicity 4)
Mg2 0.000 0.500 0.000 (multiplicity 4)


No. 21
The following is a PBE calculation of a relaxed structure of Mg2PbBr, from Alexandria.

## Properties
E_tot (eV per atom): -2.443
Energy relative to the elements, uncorrected (eV per atom): -0.3007
M_tot (μB per formula unit): 0.00
ρ (Mg/m³): 5.3

Lattice parameters (Å, degrees): 4.344 5.759 8.465 90.00 90.00 90.00
Space group Cmmm (No. 65)
One atom of each set of equivalent atoms:
Mg1 0.000 0.000 0.249 (multiplicity 4)
Pb1 0.000 0.500 0.500 (multiplicity 2)
Br1 0.000 0.500 0.000 (multiplicity 2)


No. 22
The following is a PBE calculation of a relaxed structure of Ho2Al9Ir3, from Alexandria.

## Properties
E_tot (eV per atom): -5.819
M_tot (μB per formula unit): 0.00
ρ (Mg/m³): 8.1
ΔE_f (eV/atom): -0.861

Lattice parameters (Å, degrees): 13.033 7.596 9.462 90.00 90.00 90.00
Space group Cmcm (No. 63)
One atom of each set of equivalent atoms:
Ho1 0.162 0.166 0.250 (multiplicity 8)
Al1 0.000 0.129 0.750 (multiplicity 4)
Al2 0.000 0.333 0.052 (multiplicity 8)
Al3 0.105 0.444 0.750 (multiplicity 8)
Al4 0.167 0.168 0.575 (multiplicity 16)
Ir1 0.000 0.000 0.000 (multiplicity 4)
Ir2 0.172 0.500 0.000 (multiplicity 8)


No. 23
The following is a PBE calculation of a relaxed structure of Sm4SbAsS2, from Alexandria.

## Properties
E_tot (eV per atom): -6.155
Energy relative to the elements, uncorrected (eV per atom): -1.6668
M_tot (μB per formula unit): 0.00
ρ (Mg/m³): 6.9

Lattice parameters (Å, degrees): 7.211 4.191 7.287 90.00 109.61 90.00
Space group P2/m (No. 10)
One atom of each set of equivalent atoms:
Sm1 0.233 0.000 0.233 (multiplicity 2)
Sm2 0.242 0.500 0.757 (multiplicity 2)
Sb1 0.500 0.500 0.500 (multiplicity 1)
As1 0.500 0.000 0.000 (multiplicity 1)
S1 0.000 0.000 0.500 (multiplicity 1)
S2 0.000 0.500 0.000 (multiplicity 1)


No. 24
The following is a PBE calculation of a relaxed structure of TbNd3Ga, from Alexandria.

## Properties
E_tot (eV per atom): -4.410
M_tot (μB per formula unit): 0.00
ρ (Mg/m³): 6.5
ΔE_f (eV/atom): -0.018

Lattice parameters (Å, degrees): 7.424 11.227 8.087 90.00 90.00 90.00
Space group Imma (No. 74)
One atom of each set of equivalent atoms:
Tb1 0.000 0.250 0.029 (multiplicity 4)
Nd1 0.000 0.250 0.463 (multiplicity 4)
Nd2 0.250 0.014 0.250 (multiplicity 8)
Ga1 0.250 0.250 0.750 (multiplicity 4)